DFT (PBE-GGA) results for MgIn2AgI5 after structural relaxation.

a b c (Å): 4.4458 10.4016 15.1244
angles (deg): 90.00 90.00 102.34
Fractional positions:
I: 0.2738 0.5476 0.6594
I: 0.3586 0.7172 0.9997
I: 0.0690 0.1381 0.0543
I: 0.6414 0.2828 0.4997
I: 0.9310 0.8619 0.5543
I: 0.7262 0.4524 0.1594
I: 0.7032 0.4063 0.8942
I: 0.5051 0.0101 0.2776
I: 0.2968 0.5937 0.3942
I: 0.4949 0.9899 0.7776
Ag: 0.4405 0.8810 0.4377
Ag: 0.5595 0.1190 0.9377
In: 0.8698 0.7397 0.8118
In: 0.0987 0.1973 0.6633
In: 0.9013 0.8026 0.1633
In: 0.1302 0.2603 0.3117
Mg: 0.7847 0.5694 0.5260
Mg: 0.2153 0.4307 0.0260

Results
Total magnetic moment   0.00 μB/cell
Calculated density   4.8 g cm⁻³
Symmetry   No. 36
E_tot   -2.547 eV per atom